(1)
# GdTm2Sb

GdTm2Sb after structural relaxation (PBE, the Alexandria database).

a = 3.9690 Å, b = 3.9690 Å, c = 7.1809 Å
α = 90.00°, β = 90.00°, γ = 90.00°
With the nearest neighbours (Å) after each atom.
Positions (direct):
Gd1 0.5000 0.5000 0.0000  8 Tm 3.44, 2 Sb 3.59
Sb1 0.5000 0.5000 0.5000  8 Tm 3.23, 2 Gd 3.59
Tm1 0.0000 0.0000 0.7238  1 Tm 3.21, 4 Sb 3.23, 4 Gd 3.44
Tm2 0.0000 0.0000 0.2762  1 Tm 3.21, 4 Sb 3.23, 4 Gd 3.44

Calculated values
Offset from the most stable computed form in meV/atom: 19
Space-group type: P4/mmm
Density of states at the Fermi level in states/eV/f.u.: 5.02
Total energy in eV/atom: -7.238

=====

(2)
# Sr2Li4BiAs3

Sr2Li4BiAs3 after structural relaxation (PBE, the Alexandria database).

a = 4.3927 Å, b = 4.3927 Å, c = 11.5015 Å
α = 90.00°, β = 90.00°, γ = 90.00°
With the nearest neighbours (Å) after each atom.
Positions (direct):
Sr1 0.5000 0.0000 0.2228  4 As 3.27, 8 Li 3.38-3.42
Sr2 0.0000 0.5000 0.7772  4 As 3.27, 8 Li 3.38-3.42
Li1 0.5000 0.5000 0.0000  4 As 2.67
Li2 0.0000 0.0000 0.0000  4 As 2.67
Li3 0.5000 0.0000 0.6520  1 As 2.48
Li4 0.0000 0.5000 0.3480  1 As 2.48
Bi1 0.5000 0.5000 0.5000  4 Li 2.81, 4 As 3.11
As1 0.0000 0.0000 0.5000  4 Li 2.81, 4 Bi 3.11
As2 0.5000 0.0000 0.8673  5 Li 2.48-2.67
As3 0.0000 0.5000 0.1327  5 Li 2.48-2.67

Calculated values
Space-group type: P-4m2
Density of states at the Fermi level in states/eV/f.u.: 2.57
Total energy in eV/atom: -3.671

=====

(3)
# Sr2ScPaBi4

Sr2ScPaBi4 after structural relaxation (PBE, the Alexandria database).

a = 4.5913 Å, b = 7.8107 Å, c = 8.1532 Å
α = 108.92°, β = 90.00°, γ = 90.00°
With the nearest neighbours (Å) after each atom.
Positions (direct):
Sr1 0.5000 0.0000 0.5000  6 Bi 3.42-3.44
Sr2 0.0000 0.5000 0.5000  6 Bi 3.40
Sc1 0.5000 0.5000 0.0000  6 Bi 3.09-3.11
Pa1 0.0000 0.0000 0.0000  6 Bi 3.11-3.14
Bi1 0.5000 0.2439 0.2194  1 Sc 3.09, 2 Pa 3.14, 3 Sr 3.40-3.42
Bi2 0.5000 0.7561 0.7806  1 Sc 3.09, 2 Pa 3.14, 3 Sr 3.40-3.42
Bi3 0.0000 0.2642 0.7848  2 Sc 3.11, 1 Pa 3.11, 3 Sr 3.40-3.44
Bi4 0.0000 0.7358 0.2152  2 Sc 3.11, 1 Pa 3.11, 3 Sr 3.40-3.44

Calculated values
Space-group type: P2/m
Total energy in eV/atom: -4.972

=====

(4)
# SrTaO3

SrTaO3 after structural relaxation (PBE, the Alexandria database).

a = 14.4028 Å, b = 6.7771 Å, c = 6.7771 Å
α = 148.80°, β = 149.09°, γ = 30.91°
With the nearest neighbours (Å) after each atom.
Positions (direct):
Sr1 0.6176 0.0234 0.9766  6 O 2.46-2.66
Sr2 0.3824 0.9766 0.0234  6 O 2.46-2.66
O1 0.7699 0.2628 0.7372  1 Ta 1.96
O2 0.2301 0.7372 0.2628  1 Ta 1.96
O3 0.9753 0.3775 0.6225  2 Ta 1.98
O4 0.0247 0.6225 0.3775  2 Ta 1.98
O5 0.3642 0.8063 0.1937  1 Ta 1.99
O6 0.6358 0.1937 0.8063  1 Ta 1.99
Ta1 0.9080 0.9935 0.0065  4 O 1.96-1.99
Ta2 0.0920 0.0065 0.9935  4 O 1.96-1.99

Calculated values
Space-group type: C2/m
Density of states at the Fermi level in states/eV/f.u.: 0.00
Total energy in eV/atom: -8.358